# LiMgCdSn

Crystalline LiMgCdSn at its relaxed geometry (PBE-GGA, Alexandria via LeMat-Bulk).

Calculated values
- polymorph energy (0 for the lowest one) (eV/f.u.) = 0.000
- DFT formation energy (eV/atom) = -0.223

Cell lengths 4.299, 4.427, 4.450 Å; angles 90.00, 90.00, 90.00 degrees
Sites, in units of the cell vectors:
1 Li 0.000 0.000 0.000
2 Mg 0.000 0.500 0.500
3 Cd 0.500 0.500 0.000
4 Sn 0.500 0.000 0.500